Entry 1:
Here is Nd2PaHg3Te6 after structural relaxation from Alexandria. Energies are from PBE.

Its crystal system is monoclinic. For the formation energy from raw total energies, the calculation gives -0.769 eV/atom. Its calculated total energy is -4.002 eV/atom.

Cell lengths 7.6778, 7.6778, 9.0009 Å; angles 98.13, 98.13, 119.99 degrees
Fractional positions:
Te: 0.0689 0.3855 0.2082
Te: 0.7525 0.7525 0.2079
Te: 0.9311 0.6145 0.7918
Te: 0.2475 0.2475 0.7921
Te: 0.6145 0.9311 0.7918
Te: 0.3855 0.0689 0.2082
Pa: 0.0000 0.0000 0.0000
Nd: 0.3335 0.6665 0.0000
Nd: 0.6665 0.3335 0.0000
Hg: 0.1675 0.8325 0.5000
Hg: 0.5000 0.5000 0.5000
Hg: 0.8325 0.1675 0.5000

Entry 2:
Here is NdPaZnHg after structural relaxation from Alexandria. Energies are from PBE.

Its crystal system is cubic. For the energy of formation from the pure elements, the calculation gives 28 meV per atom. Its calculated total energy is -3.932 eV/atom.

Cell lengths 5.2568, 5.2568, 5.2568 Å; angles 60.00, 60.00, 60.00 degrees
Fractional positions:
Hg: 0.5000 0.5000 0.5000
Zn: 0.0000 0.0000 0.0000
Pa: 0.7500 0.7500 0.7500
Nd: 0.2500 0.2500 0.2500